[1]
Crystalline BaMo2W at its relaxed geometry, computed with GGA-PBEsol.

total moment: 0.00 μB/f.u.
symmetry: No. 123
ΔE to the lowest computed polymorph: 517 meV/atom
DOS at the Fermi energy: 3.3 states/eV per cell

Cell: 4.7859 4.7859 3.1887 Å, 90.00 90.00 90.00°
Last column: nearest neighbours and their distance in Å.
Fractional coordinates of all 4 atoms:
Ba1 0.0000 0.0000 0.0000  8 Mo 2.88, 2 Ba 3.19
Mo1 0.0000 0.5000 0.5000  4 W 2.88, 4 Ba 2.88, 2 Mo 3.19
Mo2 0.5000 0.0000 0.5000  4 W 2.88, 4 Ba 2.88, 2 Mo 3.19
W1 0.5000 0.5000 0.0000  8 Mo 2.88, 2 W 3.19

[2]
Crystalline Ba2MoW at its relaxed geometry, computed with GGA-PBEsol.

total moment: 4.93 μB/f.u.
symmetry: No. 225
ΔE to the lowest computed polymorph: 1289 meV/atom
DOS at the Fermi energy: 7.3 states/eV per cell

Cell: 5.4426 5.4426 5.4426 Å, 60.00 60.00 60.00°
Last column: nearest neighbours and their distance in Å.
Fractional coordinates of all 4 atoms:
Ba1 0.2500 0.2500 0.2500  4 Mo 3.33, 4 W 3.33
Ba2 0.7500 0.7500 0.7500  4 W 3.33, 4 Mo 3.33
Mo1 0.0000 0.0000 0.0000  8 Ba 3.33
W1 0.5000 0.5000 0.5000  8 Ba 3.33

[3]
Crystalline BaZnMo2W at its relaxed geometry, computed with GGA-PBEsol.

total energy: -4.792 eV per atom
total moment: 0.46 μB/f.u.
symmetry: No. 123
DOS at the Fermi energy: 6.8 states/eV per cell

Cell: 4.8904 4.8904 4.9859 Å, 90.00 90.00 90.00°
Last column: nearest neighbours and their distance in Å.
Fractional coordinates of all 5 atoms:
Ba1 0.0000 0.0000 0.0000  4 Mo 2.45, 2 Zn 2.49
Zn1 0.0000 0.0000 0.5000  2 Ba 2.49
Mo1 0.0000 0.5000 0.0000  2 Ba 2.45
Mo2 0.5000 0.0000 0.0000  2 Ba 2.45
W1 0.5000 0.5000 0.5000  4 Zn 3.46, 8 Mo 3.49

[4]
Crystalline Ba2YMo at its relaxed geometry, computed with GGA-PBEsol.

total moment: 1.39 μB/f.u.
symmetry: No. 123
ΔE to the lowest computed polymorph: 0 meV/atom
DOS at the Fermi energy: 4.4 states/eV per cell

Cell: 3.6705 3.6705 9.8566 Å, 90.00 90.00 90.00°
Last column: nearest neighbours and their distance in Å.
Fractional coordinates of all 4 atoms:
Ba1 0.0000 0.0000 0.2085  4 Mo 3.31, 4 Ba 3.67
Ba2 0.0000 0.0000 0.7915  4 Mo 3.31, 4 Ba 3.67
Y1 0.5000 0.5000 0.5000  4 Y 3.67, 8 Ba 3.87
Mo1 0.5000 0.5000 0.0000  8 Ba 3.31, 4 Mo 3.67

[5]
Crystalline Ba2YMo at its relaxed geometry, computed with GGA-PBEsol.

total moment: 0.15 μB/f.u.
symmetry: No. 65
ΔE to the lowest computed polymorph: 16 meV/atom
DOS at the Fermi energy: 6.2 states/eV per cell

Cell: 3.3928 3.3928 11.5562 Å, 90.00 90.00 110.88°
Last column: nearest neighbours and their distance in Å.
Fractional coordinates of all 4 atoms:
Ba1 0.0000 0.0000 0.2061  2 Mo 3.06, 4 Ba 3.39
Ba2 0.0000 0.0000 0.7939  2 Mo 3.06, 4 Ba 3.39
Y1 0.5000 0.5000 0.5000  4 Y 3.39
Mo1 0.5000 0.5000 0.0000  4 Ba 3.06, 4 Mo 3.39

[6]
Crystalline BaZnMo2 at its relaxed geometry, computed with GGA-PBEsol.

total energy: -6.170 eV per atom
total moment: 0.00 μB/f.u.
symmetry: No. 123
DOS at the Fermi energy: 2.4 states/eV per cell

Cell: 3.4701 3.4701 7.2195 Å, 90.00 90.00 90.00°
Last column: nearest neighbours and their distance in Å.
Fractional coordinates of all 4 atoms:
Ba1 0.0000 0.0000 0.0000  4 Ba 3.47, 8 Mo 3.53, 2 Zn 3.61
Zn1 0.0000 0.0000 0.5000  8 Mo 2.68
Mo1 0.5000 0.5000 0.3513  1 Mo 2.15
Mo2 0.5000 0.5000 0.6487  1 Mo 2.15

[7]
Crystalline BaZn2Mo at its relaxed geometry, computed with GGA-PBEsol.

total moment: 0.00 μB/f.u.
symmetry: No. 99
ΔE to the lowest computed polymorph: 0 meV/atom
DOS at the Fermi energy: 2.2 states/eV per cell

Cell: 3.0292 3.0292 8.5385 Å, 90.00 90.00 90.00°
Last column: nearest neighbours and their distance in Å.
Fractional coordinates of all 4 atoms:
Ba1 0.0000 0.0000 0.0000  4 Ba 3.03
Zn1 0.0000 0.0000 0.5174  4 Zn 2.60, 4 Mo 2.70
Zn2 0.5000 0.5000 0.6907  4 Zn 2.60
Mo1 0.5000 0.5000 0.3246  4 Zn 2.70

[8]
Crystalline BaZnMo at its relaxed geometry, computed with GGA-PBEsol.

total moment: 3.46 μB/f.u.
symmetry: No. 216
ΔE to the lowest computed polymorph: 0 meV/atom
DOS at the Fermi energy: 3.4 states/eV per cell

Cell: 4.9510 4.9510 4.9510 Å, 60.00 60.00 60.00°
Last column: nearest neighbours and their distance in Å.
Fractional coordinates of all 3 atoms:
Ba1 0.0000 0.0000 0.0000  4 Zn 3.03
Zn1 0.7500 0.7500 0.7500  4 Ba 3.03, 4 Mo 3.03
Mo1 0.5000 0.5000 0.5000  4 Zn 3.03